w:
First-principles (PBE-GGA) data for crystalline Rb2BiTe at its relaxed geometry, as listed in Alexandria via LeMat-Bulk.

Calculated values
M_tot in μB per formula unit: 0.0
Volume in Å³ per cell: 665.4
D(E_F) in states/eV/cell: 19.372
Crystal system: cubic

Cell: 8.730 8.730 8.730 Å, 90.00 90.00 90.00°
Space group Fm-3m (No. 225)
One atom of each set of equivalent atoms:
1 Rb 0.250 0.250 0.250 (multiplicity 8)
2 Bi 0.000 0.000 0.000 (multiplicity 4)
3 Te 0.000 0.000 0.500 (multiplicity 4)

x:
First-principles (PBE-GGA) data for crystalline Rb2BiTe at its relaxed geometry, as listed in Alexandria via LeMat-Bulk.

Calculated values
M_tot in μB per formula unit: 0.0
Volume in Å³ per cell: 161.5
D(E_F) in states/eV/cell: 1.686
Crystal system: monoclinic

Cell: 3.289 10.114 4.856 Å, 90.00 90.20 90.00°
Space group P2/m (No. 10)
One atom of each set of equivalent atoms:
1 Rb 0.000 0.228 0.000 (multiplicity 2)
2 Bi 0.500 0.500 0.500 (multiplicity 1)
3 Te 0.500 0.000 0.500 (multiplicity 1)

Which of them is least stable? Easy: w.

w:
First-principles (PBE-GGA) data for crystalline Rb2BiTe2 at its relaxed geometry, as listed in Alexandria via LeMat-Bulk.

Calculated values
M_tot in μB per formula unit: 0.0
Volume in Å³ per cell: 894.3
D(E_F) in states/eV/cell: 6.158
Crystal system: orthorhombic

Cell: 4.641 13.492 14.282 Å, 90.00 90.00 90.00°
Space group Cmc2_1 (No. 36)
One atom of each set of equivalent atoms:
1 Rb 0.000 0.067 0.000 (multiplicity 4)
2 Rb 0.000 0.317 0.205 (multiplicity 4)
3 Bi 0.000 0.370 0.868 (multiplicity 4)
4 Te 0.000 0.032 0.253 (multiplicity 4)
5 Te 0.000 0.220 0.491 (multiplicity 4)

x:
First-principles (PBE-GGA) data for crystalline Rb2BiTe2 at its relaxed geometry, as listed in Alexandria via LeMat-Bulk.

Calculated values
M_tot in μB per formula unit: 0.0
Volume in Å³ per cell: 407.2
D(E_F) in states/eV/cell: 4.135
Crystal system: tetragonal

Cell: 8.751 8.751 5.317 Å, 90.00 90.00 90.00°
Space group P4/mbm (No. 127)
One atom of each set of equivalent atoms:
1 Rb 0.140 0.360 0.000 (multiplicity 4)
2 Bi 0.000 0.000 0.500 (multiplicity 2)
3 Te 0.173 0.673 0.500 (multiplicity 4)

Which of them is least stable? Easy: x.

w:
First-principles (PBE-GGA) data for crystalline RbTi2Bi2 at its relaxed geometry, as listed in Alexandria via LeMat-Bulk.

Calculated values
M_tot in μB per formula unit: 0.0
Volume in Å³ per cell: 320.4
D(E_F) in states/eV/cell: 12.057
Crystal system: tetragonal

Cell: 4.537 4.537 15.560 Å, 90.00 90.00 90.00°
Space group I4/mmm (No. 139)
One atom of each set of equivalent atoms:
1 Rb 0.000 0.000 0.000 (multiplicity 2)
2 Ti 0.000 0.500 0.250 (multiplicity 4)
3 Bi 0.000 0.000 0.360 (multiplicity 4)

x:
First-principles (PBE-GGA) data for crystalline RbTi2Bi2 at its relaxed geometry, as listed in Alexandria via LeMat-Bulk.

Calculated values
M_tot in μB per formula unit: 1.1
Volume in Å³ per cell: 279.6
D(E_F) in states/eV/cell: 5.933
Crystal system: tetragonal

Cell: 9.233 9.233 3.280 Å, 90.00 90.00 90.00°
Space group P4/mbm (No. 127)
One atom of each set of equivalent atoms:
1 Rb 0.000 0.000 0.000 (multiplicity 2)
2 Ti 0.103 0.397 0.500 (multiplicity 4)
3 Bi 0.166 0.666 0.000 (multiplicity 4)

Which of them is least stable? Easy: x.

w:
First-principles (PBE-GGA) data for crystalline RbTi2ZnBi at its relaxed geometry, as listed in Alexandria via LeMat-Bulk.

Calculated values
M_tot in μB per formula unit: 5.1
Volume in Å³ per cell: 177.1
D(E_F) in states/eV/cell: 8.113
Crystal system: tetragonal

Cell: 5.475 5.475 5.907 Å, 90.00 90.00 90.00°
Space group P4/mmm (No. 123)
One atom of each set of equivalent atoms:
1 Rb 0.000 0.000 0.000 (multiplicity 1)
2 Ti 0.000 0.500 0.500 (multiplicity 2)
3 Zn 0.500 0.500 0.000 (multiplicity 1)
4 Bi 0.500 0.500 0.500 (multiplicity 1)

x:
First-principles (PBE-GGA) data for crystalline RbTi2ZnBi at its relaxed geometry, as listed in Alexandria via LeMat-Bulk.

Calculated values
M_tot in μB per formula unit: 5.4
Volume in Å³ per cell: 209.2
D(E_F) in states/eV/cell: 8.098
Crystal system: tetragonal

Cell: 5.453 5.453 7.037 Å, 90.00 90.00 90.00°
Space group P4/mmm (No. 123)
One atom of each set of equivalent atoms:
1 Rb 0.000 0.000 0.000 (multiplicity 1)
2 Ti 0.000 0.500 0.500 (multiplicity 2)
3 Zn 0.500 0.500 0.000 (multiplicity 1)
4 Bi 0.000 0.000 0.500 (multiplicity 1)

Which of them is least stable? Easy: x.

w:
First-principles (PBE-GGA) data for crystalline Rb2TlBi at its relaxed geometry, as listed in Alexandria via LeMat-Bulk.

Calculated values
M_tot in μB per formula unit: 0.4
Volume in Å³ per cell: 165.4
D(E_F) in states/eV/cell: 4.127
Crystal system: tetragonal

Cell: 5.441 5.441 5.585 Å, 90.00 90.00 90.00°
Space group P4/mmm (No. 123)
One atom of each set of equivalent atoms:
1 Rb 0.000 0.500 0.000 (multiplicity 2)
2 Tl 0.000 0.000 0.500 (multiplicity 1)
3 Bi 0.500 0.500 0.500 (multiplicity 1)

x:
First-principles (PBE-GGA) data for crystalline Rb2TlBi at its relaxed geometry, as listed in Alexandria via LeMat-Bulk.

Calculated values
M_tot in μB per formula unit: 0.0
Volume in Å³ per cell: 681.5
D(E_F) in states/eV/cell: 0.000
Crystal system: cubic

Cell: 8.800 8.800 8.800 Å, 90.00 90.00 90.00°
Space group Fm-3m (No. 225)
One atom of each set of equivalent atoms:
1 Rb 0.250 0.250 0.250 (multiplicity 8)
2 Tl 0.000 0.000 0.000 (multiplicity 4)
3 Bi 0.000 0.000 0.500 (multiplicity 4)

Which of them is least stable? Easy: w.

w:
First-principles (PBE-GGA) data for crystalline Rb3Tl4Bi4 at its relaxed geometry, as listed in Alexandria via LeMat-Bulk.

Calculated values
M_tot in μB per formula unit: 0.0
Volume in Å³ per cell: 965.9
D(E_F) in states/eV/cell: 13.432
Crystal system: cubic

Cell: 9.885 9.885 9.885 Å, 90.00 90.00 90.00°
Space group I-43m (No. 217)
One atom of each set of equivalent atoms:
1 Rb 0.000 0.000 0.500 (multiplicity 6)
2 Tl 0.150 0.150 0.150 (multiplicity 8)
3 Bi 0.172 0.172 0.828 (multiplicity 8)

x:
First-principles (PBE-GGA) data for crystalline Rb3Tl4Bi4 at its relaxed geometry, as listed in Alexandria via LeMat-Bulk.

Calculated values
M_tot in μB per formula unit: 0.0
Volume in Å³ per cell: 457.7
D(E_F) in states/eV/cell: 4.215
Crystal system: triclinic

Cell: 5.271 5.708 15.580 Å, 81.80 80.61 89.76°
Space group P-1 (No. 2)
One atom of each set of equivalent atoms:
1 Rb 0.000 0.000 0.000 (multiplicity 1)
2 Rb 0.349 0.882 0.300 (multiplicity 2)
3 Tl 0.094 0.444 0.812 (multiplicity 2)
4 Tl 0.246 0.246 0.507 (multiplicity 2)
5 Bi 0.195 0.698 0.614 (multiplicity 2)
6 Bi 0.453 0.390 0.095 (multiplicity 2)

Which of them is least stable? Easy: w.